The following is a DFT calculation (PBE) of a relaxed structure of CaCr2W.

## Properties
energy: -7.92 eV per atom
relative energy among the computed polymorphs: 0.0900 eV/atom
mass density: 7.89 Mg/m³
DOS at the Fermi energy: 4.767 states/eV/cell
SG: P4mm, No. 99
DFT formation energy: 0.63 eV per atom

The structure in extended XYZ format:
```
4
Lattice="2.9435 0.0000 0.0000 0.0000 2.9435 0.0000 0.0000 0.0000 7.9673" Properties=species:S:1:pos:R:3 pbc="T T T"
Ca 0.0000 0.0000 0.0000
Cr 0.0000 0.0000 3.7104
Cr 1.4718 1.4718 2.4875
W 1.4718 1.4718 5.4126
```